Below is Pm2Be4Ge3Pd after structural relaxation, with properties calculated at the GGA-PBE level.

## Properties
* crystal system: tetragonal

a = 3.9965 Å, b = 3.9965 Å, c = 9.9028 Å
α = 90.00°, β = 90.00°, γ = 90.00°
Closest atoms and distances in Å follow each position.
Fractional coordinates of all 10 atoms:
Pm (0.0000, 0.5000, 0.2460)  6 Ge 3.04-3.21, 8 Be 3.08-3.15, 2 Pd 3.21
Pm (0.5000, 0.0000, 0.7540)  6 Ge 3.04-3.21, 8 Be 3.08-3.15, 2 Pd 3.21
Be (0.0000, 0.0000, 0.0000)  4 Ge 2.39
Be (0.0000, 0.5000, 0.6297)  3 Ge 2.36-2.38, 2 Pd 2.38
Be (0.5000, 0.0000, 0.3703)  3 Ge 2.36-2.38, 2 Pd 2.38
Be (0.5000, 0.5000, 0.0000)  4 Ge 2.39
Ge (0.0000, 0.5000, 0.8677)  5 Be 2.36-2.39
Ge (0.5000, 0.0000, 0.1323)  5 Be 2.36-2.39
Ge (0.5000, 0.5000, 0.5000)  4 Be 2.38
Pd (0.0000, 0.0000, 0.5000)  4 Be 2.38


Below is PrBeGe2Pd after structural relaxation, with properties calculated at the GGA-PBE level.

## Properties
* crystal system: tetragonal

a = 6.0250 Å, b = 6.0250 Å, c = 6.0250 Å
α = 139.74°, β = 139.74°, γ = 58.25°
Closest atoms and distances in Å follow each position.
Fractional coordinates of all 5 atoms:
Pr (0.0000, 0.0000, 0.0000)  8 Ge 3.20, 4 Be 3.35, 4 Pd 3.35
Be (0.7500, 0.2500, 0.5000)  4 Ge 2.48
Ge (0.3785, 0.3785, 0.0000)  2 Be 2.48, 2 Pd 2.48, 1 Ge 2.56
Ge (0.6215, 0.6215, 0.0000)  2 Be 2.48, 2 Pd 2.48, 1 Ge 2.56
Pd (0.2500, 0.7500, 0.5000)  4 Ge 2.48


no.,E_form (kJ/mol of atoms)
1,-48.9
2,-60.4